No. 1
TcPRh2 (PBE, relaxed); magnetic moment = 0.00 μB/f.u.; calculated formation energy = 0.00 eV per atom; space group = No. 47
1.0
2.880 0.000 0.000
0.000 4.369 0.000
0.000 0.000 4.395
Tc P Rh
1 1 2
direct
0.500 0.000 0.500
0.000 0.500 0.500
0.000 0.000 0.000
0.500 0.500 0.000

***

No. 2
CaBiAu2 (PBE, relaxed); magnetic moment = 0.00 μB/f.u.; calculated formation energy = -0.48 eV per atom; space group = No. 123
1.0
-0.995 -0.380 4.116
3.205 -3.417 0.460
3.267 3.210 1.086
Ca Au Bi
1 2 1
direct
0.500 0.000 0.000
0.000 0.000 0.500
0.000 0.500 0.000
0.500 0.500 0.500

***

No. 3
FeCo2Cu (PBE, relaxed); magnetic moment = 5.91 μB/f.u.; calculated formation energy = 0.10 eV per atom; space group = No. 10
1.0
4.012 0.000 0.000
0.000 2.445 0.000
0.000 0.773 4.672
Co Cu Fe
2 1 1
direct
0.000 0.972 0.998
0.000 0.528 0.502
0.500 0.250 0.250
0.500 0.750 0.750